# 1
Density functional theory data (PBE-GGA) for a relaxed structure of PrHo2Er.

* symmetry: P-3m1, No. 164
* excess energy over the best structure of this formula in the dataset: 0.000 eV per atom

Geometry as POSCAR:
```
PrHo2Er
1.0
-0.1025 2.6650 2.3953
-3.1354 1.4966 0.8831
-1.2717 -7.6621 8.4705
Pr Ho Er
1 2 1
Direct
0.0000 0.0000 0.0000 Pr
0.3333 0.3333 0.7453 Ho
0.6667 0.6667 0.2547 Ho
0.0000 0.0000 0.5000 Er
```

# 2
Density functional theory data (PBE-GGA) for a relaxed structure of TiBiSe2.

* uncorrected formation energy: -762 meV/atom
* symmetry: P3m1, No. 156

Geometry as POSCAR:
```
TiBiSe2
1.0
-1.4328 2.6330 1.8703
1.4126 -2.7809 1.6598
7.9070 4.1474 0.2190
Bi Ti Se
1 1 2
Direct
0.3333 0.6667 0.4892 Bi
0.0000 0.0000 0.9881 Ti
0.6667 0.3333 0.1639 Se
0.3333 0.6667 0.8137 Se
```

# 3
Density functional theory data (PBE-GGA) for a relaxed structure of Zn5Pt2Au.

* final energy: -24.35 eV for the cell shown
* symmetry: C2/m, No. 12

Geometry as POSCAR:
```
Zn5Pt2Au
1.0
-1.6601 -1.6949 3.9153
-3.6219 -1.6605 -2.2545
5.4923 -3.2842 -1.7694
Au Pt Zn
1 2 5
Direct
0.0000 0.0000 0.0000 Au
0.7373 0.7386 0.4746 Pt
0.2627 0.2614 0.5254 Pt
0.8705 0.3709 0.7410 Zn
0.3705 0.8693 0.7410 Zn
0.1295 0.6291 0.2590 Zn
0.6295 0.1307 0.2590 Zn
0.5000 0.5000 0.0000 Zn
```

# 4
Density functional theory data (PBE-GGA) for a relaxed structure of Ca2La6Pm5.

* final energy: -111.54 eV for the cell shown
* symmetry: Pbam, No. 55

Geometry as POSCAR:
```
Ca2La6Pm5
1.0
3.6502 0.0000 0.0000
0.0000 12.3843 0.0000
0.0000 0.0000 21.1880
La Ca Pm
12 4 10
Direct
0.0000 0.5454 0.4228 La
0.0000 0.9546 0.9228 La
0.0000 0.4327 0.8612 La
0.5000 0.3088 0.1211 La
0.0000 0.0673 0.3612 La
0.0000 0.4546 0.5772 La
0.5000 0.6912 0.8789 La
0.5000 0.1912 0.6211 La
0.0000 0.9327 0.6388 La
0.0000 0.5673 0.1388 La
0.5000 0.8088 0.3789 La
0.0000 0.0454 0.0772 La
0.0000 0.1665 0.7854 Ca
0.0000 0.6665 0.7146 Ca
0.0000 0.3335 0.2854 Ca
0.0000 0.8335 0.2146 Ca
0.5000 0.9064 0.7806 Pm
0.5000 0.4064 0.7194 Pm
0.5000 0.2858 0.4479 Pm
0.5000 0.0000 0.5000 Pm
0.5000 0.0936 0.2194 Pm
0.5000 0.5000 0.0000 Pm
0.5000 0.7858 0.0521 Pm
0.5000 0.7142 0.5521 Pm
0.5000 0.5936 0.2806 Pm
0.5000 0.2142 0.9479 Pm
```

# 5
Density functional theory data (PBE-GGA) for a relaxed structure of ZrCoHgRh.

* final energy: -24.31 eV for the cell shown
* symmetry: F-43m, No. 216

Geometry as POSCAR:
```
ZrCoHgRh
1.0
-1.6116 2.5468 -3.3816
1.9397 -0.1746 -4.0897
-2.1814 -1.9463 -3.4601
Co Zr Hg Rh
1 1 1 1
Direct
0.5000 0.5000 0.5000 Co
0.2500 0.2500 0.2500 Zr
0.7500 0.7500 0.7500 Hg
0.0000 0.0000 0.0000 Rh
```

# 6
Density functional theory data (PBE-GGA) for a relaxed structure of TiGa2Fe.

* final energy: -43.99 eV for the cell shown
* symmetry: I-42d, No. 122

Geometry as POSCAR:
```
TiGa2Fe
1.0
3.7545 0.0000 0.0000
0.0000 3.7545 0.0000
1.8772 1.8772 9.3531
Ga Ti Fe
4 2 2
Direct
0.8750 0.8853 0.7500 Ga
0.3750 0.3647 0.7500 Ga
0.1147 0.6250 0.2500 Ga
0.6353 0.1250 0.2500 Ga
0.5000 0.5000 0.0000 Ti
0.2500 0.7500 0.5000 Ti
0.7500 0.2500 0.5000 Fe
0.0000 0.0000 0.0000 Fe
```